# 1
NiAg2P | GGA-PBE | optimized geometry

Properties
calculated total energy	-3.924	eV per atom
V	15.33	Å³ per atom
calculated formation energy	0.30	eV/atom

a = 6.260 Å, b = 6.260 Å, c = 6.260 Å
α = 90.00°, β = 90.00°, γ = 90.00°
Space group F-43m (No. 216)
Unique sites:
Ni1 0.000 0.000 0.000 [4 per cell]
Ag1 0.000 0.000 0.500 [4 per cell]
Ag2 0.250 0.250 0.250 [4 per cell]
P1 0.250 0.250 0.750 [4 per cell]

---

# 2
NaFePbCl5 | GGA-PBE | optimized geometry

Properties
calculated total energy	-3.887	eV per atom
V	28.60	Å³ per atom

a = 10.019 Å, b = 13.135 Å, c = 7.525 Å
α = 90.00°, β = 112.45°, γ = 90.00°
Space group C2/c (No. 15)
Unique sites:
Na1 0.250 0.250 0.000 [4 per cell]
Fe1 0.000 0.001 0.250 [4 per cell]
Pb1 0.000 0.457 0.250 [4 per cell]
Cl1 0.000 0.342 0.750 [4 per cell]
Cl2 0.004 0.125 0.008 [8 per cell]
Cl3 0.229 0.487 0.113 [8 per cell]

---

# 3
LaTiTcGe2 | GGA-PBE | optimized geometry

Properties
calculated total energy	-7.129	eV per atom
V	19.65	Å³ per atom
calculated formation energy	-0.64	eV/atom

a = 4.089 Å, b = 4.089 Å, c = 11.757 Å
α = 90.00°, β = 90.00°, γ = 90.00°
Space group I-4m2 (No. 119)
Unique sites:
La1 0.000 0.000 0.000 [2 per cell]
Ti1 0.000 0.500 0.250 [2 per cell]
Tc1 0.000 0.500 0.750 [2 per cell]
Ge1 0.000 0.000 0.386 [4 per cell]

---

# 4
LaSnN3 | GGA-PBE | optimized geometry

Properties
calculated total energy	-6.607	eV per atom
V	14.23	Å³ per atom

a = 4.144 Å, b = 4.144 Å, c = 4.144 Å
α = 90.00°, β = 90.00°, γ = 90.00°
Space group Pm-3m (No. 221)
Unique sites:
La1 0.000 0.000 0.000 [1 per cell]
Sn1 0.500 0.500 0.500 [1 per cell]
N1 0.000 0.500 0.500 [3 per cell]

---

# 5
BaCdIn2Ag | GGA-PBE | optimized geometry

Properties
calculated total energy	-2.551	eV per atom
V	28.74	Å³ per atom
calculated formation energy	-0.32	eV/atom

a = 4.820 Å, b = 4.826 Å, c = 12.358 Å
α = 90.00°, β = 90.00°, γ = 90.00°
Space group Imm2 (No. 44)
Unique sites:
Ba1 0.000 0.000 0.000 [2 per cell]
Cd1 0.000 0.500 0.744 [2 per cell]
In1 0.000 0.000 0.387 [2 per cell]
In2 0.000 0.500 0.241 [2 per cell]
Ag1 0.000 0.000 0.614 [2 per cell]

---

# 6
Nd2Sm5Tm2 | GGA-PBE | optimized geometry

Properties
calculated total energy	-4.656	eV per atom
V	33.23	Å³ per atom
distance to the lowest polymorph of the same formula	0.000	eV per atom
calculated formation energy	0.02	eV/atom

a = 6.238 Å, b = 6.243 Å, c = 9.567 Å
α = 70.98°, β = 70.98°, γ = 60.05°
Space group P-1 (No. 2)
Unique sites:
Nd1 0.168 0.166 0.000 [2 per cell]
Sm1 0.055 0.388 0.335 [2 per cell]
Sm2 0.279 0.945 0.664 [2 per cell]
Sm3 0.500 0.500 0.000 [1 per cell]
Tm1 0.389 0.721 0.336 [2 per cell]

---

# 7
BeHg2Pb4 | GGA-PBE | optimized geometry

Properties
calculated total energy	-2.443	eV per atom
V	30.05	Å³ per atom
calculated formation energy	0.29	eV/atom

a = 4.999 Å, b = 4.999 Å, c = 16.831 Å
α = 90.00°, β = 90.00°, γ = 90.00°
Space group I4/mmm (No. 139)
Unique sites:
Be1 0.000 0.000 0.000 [2 per cell]
Hg1 0.000 0.000 0.352 [4 per cell]
Pb1 0.000 0.000 0.160 [4 per cell]
Pb2 0.000 0.500 0.000 [4 per cell]

---

# 8
TbZrMn4 | GGA-PBE | optimized geometry

Properties
calculated total energy	-8.288	eV per atom
V	15.08	Å³ per atom
calculated formation energy	0.02	eV/atom

a = 7.127 Å, b = 7.127 Å, c = 7.127 Å
α = 90.00°, β = 90.00°, γ = 90.00°
Space group F-43m (No. 216)
Unique sites:
Tb1 0.000 0.000 0.000 [4 per cell]
Zr1 0.250 0.250 0.750 [4 per cell]
Mn1 0.125 0.125 0.375 [16 per cell]

---

# 9
Ca2Pm5Ho | GGA-PBE | optimized geometry

Properties
calculated total energy	-3.993	eV per atom
V	35.44	Å³ per atom
calculated formation energy	0.05	eV/atom

a = 5.183 Å, b = 5.183 Å, c = 21.110 Å
α = 90.00°, β = 90.00°, γ = 90.00°
Space group I4/mmm (No. 139)
Unique sites:
Ca1 0.000 0.000 0.250 [4 per cell]
Pm1 0.000 0.000 0.000 [2 per cell]
Pm2 0.000 0.500 0.117 [8 per cell]
Ho1 0.000 0.000 0.500 [2 per cell]

---

# 10
UVIn | GGA-PBE | optimized geometry

Properties
calculated total energy	-7.459	eV per atom
V	19.65	Å³ per atom
calculated formation energy	0.26	eV/atom

a = 3.001 Å, b = 3.001 Å, c = 13.090 Å
α = 90.00°, β = 90.00°, γ = 90.00°
Space group I4mm (No. 107)
Unique sites:
U1 0.000 0.000 0.000 [2 per cell]
V1 0.000 0.000 0.352 [2 per cell]
In1 0.000 0.000 0.699 [2 per cell]

---

# 11
CrCu2Rh | GGA-PBE | optimized geometry

Properties
calculated total energy	-5.603	eV per atom
V	13.69	Å³ per atom
calculated formation energy	0.69	eV/atom

a = 6.748 Å, b = 6.748 Å, c = 4.810 Å
α = 90.00°, β = 90.00°, γ = 90.00°
Space group I-42d (No. 122)
Unique sites:
Cr1 0.000 0.000 0.000 [4 per cell]
Cu1 0.238 0.250 0.125 [8 per cell]
Rh1 0.000 0.000 0.500 [4 per cell]

---

# 12
Na2Er3TmTe6 | GGA-PBE | optimized geometry

Properties
calculated total energy	-4.570	eV per atom
V	29.66	Å³ per atom

a = 7.544 Å, b = 13.049 Å, c = 7.653 Å
α = 90.00°, β = 109.10°, γ = 90.00°
Space group C2/m (No. 12)
Unique sites:
Na1 0.000 0.165 0.000 [4 per cell]
Er1 0.000 0.000 0.500 [2 per cell]
Er2 0.000 0.330 0.500 [4 per cell]
Tm1 0.000 0.500 0.000 [2 per cell]
Te1 0.241 0.500 0.743 [4 per cell]
Te2 0.248 0.336 0.253 [8 per cell]